DFT (GGA-PBE) results for PmHo8 after structural relaxation.

The value obtained for the density of states at the Fermi level is 1.4307 states/eV/atom. The calculation puts the volume at 31.275 A^3/atom. Its crystal system is tetragonal. As for the formation enthalpy at 0 K: 0.02 eV/atom. For the total energy, the calculation gives -4.576 eV per atom.

a b c (Å): 7.913 7.913 7.913
angles (deg): 95.71 95.71 143.22
Fractional coordinates of all 9 atoms:
Pm 0.000 0.000 0.000
Ho 0.000 0.334 0.334
Ho 0.000 0.666 0.666
Ho 0.333 0.333 0.665
Ho 0.333 0.667 0.000
Ho 0.334 0.000 0.334
Ho 0.666 0.000 0.666
Ho 0.667 0.333 0.000
Ho 0.667 0.667 0.335

***

DFT (GGA-PBE) results for LaPu2PaP4 after structural relaxation.

The value obtained for the density of states at the Fermi level is 2.9961 states/eV/atom. The calculation puts the volume at 23.623 A^3/atom. Its crystal system is tetragonal. As for the formation enthalpy at 0 K: -1.26 eV/atom. For the total energy, the calculation gives -9.354 eV per atom.

a b c (Å): 5.732 5.732 11.502
angles (deg): 90.00 90.00 90.00
Fractional coordinates of all 16 atoms:
La 0.000 0.000 0.000
La 0.500 0.500 0.500
Pu 0.000 0.000 0.500
Pu 0.000 0.500 0.250
Pu 0.500 0.000 0.750
Pu 0.500 0.500 0.000
Pa 0.000 0.500 0.750
Pa 0.500 0.000 0.250
P 0.000 0.000 0.257
P 0.000 0.000 0.743
P 0.000 0.500 0.506
P 0.000 0.500 0.994
P 0.500 0.000 0.006
P 0.500 0.000 0.494
P 0.500 0.500 0.243
P 0.500 0.500 0.757

***

DFT (GGA-PBE) results for Sc2GeSb2 after structural relaxation.

The value obtained for the density of states at the Fermi level is 0.7588 states/eV/atom. The calculation puts the volume at 23.107 A^3/atom. Its crystal system is tetragonal. For the relative energy among the computed polymorphs, the calculation gives 0 meV/atom. The uncorrected formation energy is -551 meV/atom. For the total energy, the calculation gives -5.656 eV per atom.

a b c (Å): 7.426 7.426 4.191
angles (deg): 90.00 90.00 90.00
Fractional coordinates of all 10 atoms:
Sc 0.158 0.342 0.000
Sc 0.342 0.842 0.000
Sc 0.658 0.158 0.000
Sc 0.842 0.658 0.000
Ge 0.000 0.000 0.000
Ge 0.500 0.500 0.000
Sb 0.156 0.656 0.500
Sb 0.344 0.156 0.500
Sb 0.656 0.844 0.500
Sb 0.844 0.344 0.500